Compound: NdCu3Ni4O12
Source: the Alexandria database
Functional: PBE with a Hubbard U
Structure: relaxed

Cell: 7.326 7.326 7.326 Å, 90.00 90.00 90.00°
Space group Im-3 (No. 204)
Symmetry-distinct sites (fractional):
Nd: 0.000 0.000 0.000 x2
Cu: 0.000 0.000 0.500 x6
Ni: 0.250 0.250 0.250 x8
O: 0.000 0.310 0.170 x24


Compound: Nd2Cu2NiO6
Source: the Alexandria database
Functional: PBE with a Hubbard U
Structure: relaxed

Cell: 5.7306 5.7306 15.3381 Å, 90.00 90.00 120.00°
Space group R-3m (No. 166, hexagonal axes)
Symmetry-distinct sites (fractional):
Nd: 0.0000 0.0000 0.2107 x6
Cu: 0.0000 0.0000 0.4161 x6
Ni: 0.0000 0.0000 0.0000 x3
O: 0.0368 0.5184 0.7574 x18


Compound: Nd2CuNiO6
Source: the Alexandria database
Functional: PBE with a Hubbard U
Structure: relaxed

Cell: 5.390 5.772 9.312 Å, 90.00 125.14 90.00°
Space group P2_1/c (No. 14)
Symmetry-distinct sites (fractional):
Nd: 0.233 0.070 0.250 x4
Cu: 0.500 0.000 0.000 x2
Ni: 0.000 0.000 0.500 x2
O: 0.167 0.193 0.958 x4
O: 0.245 0.695 0.954 x4
O: 0.343 0.020 0.757 x4


Compound: Nd4CuNiO8
Source: the Alexandria database
Functional: PBE with a Hubbard U
Structure: relaxed

Cell: 12.642 5.385 5.433 Å, 90.00 90.00 90.00°
Space group Amm2 (No. 38)
Symmetry-distinct sites (fractional):
Nd: 0.134 0.000 0.000 x4
Nd: 0.361 0.000 0.523 x4
Cu: 0.500 0.000 0.016 x2
Ni: 0.000 0.000 0.496 x2
O: 0.000 0.247 0.749 x4
O: 0.177 0.000 0.485 x4
O: 0.313 0.000 0.967 x4
O: 0.500 0.246 0.268 x4


Total energy, record by record: -5.32, -6.14, -6.60, -7.21 eV/atom
DOS(E_F), record by record: 6.33, 3.23, 1.13, 1.88 states/eV/f.u.